#A
4
Lattice="-2.1767 2.3964 1.1028 -3.8183 -3.4874 0.0415 2.1286 -0.2328 4.7072" Properties=species:S:1:pos:R:3 comment="Li2PbBr, relaxed, DFT GGA-PBEsol" dos_ef_per_ev_atom=0.313 volume_a3_per_cell=88 space_group=Cmmm pbc="T T T"
Br -1.9332 -0.6619 2.9258
Li -1.9092 -1.7437 0.0208
Li 1.0643 -0.1164 2.3536
Pb -1.0884 1.1982 0.5514

***

#B
4
Lattice="-0.7673 -1.4810 -2.8900 -1.3474 -2.5711 1.6753 -5.6654 5.7938 -1.4649" Properties=species:S:1:pos:R:3 comment="Li2PbBr, relaxed, DFT GGA-PBEsol" dos_ef_per_ev_atom=0.287 volume_a3_per_cell=86 space_group=P2/m pbc="T T T"
Br -1.0573 -2.0260 -0.6073
Li -5.5090 2.6094 0.1254
Li -1.5038 0.6132 0.0850
Pb -3.2163 2.1564 -2.1774

***

#C
4
Lattice="4.5448 0.0000 0.0000 0.0000 4.5448 0.0000 -2.2724 -2.2724 4.4090" Properties=species:S:1:pos:R:3 comment="Li2PbBr, relaxed, DFT GGA-PBEsol" dos_ef_per_ev_atom=0.267 volume_a3_per_cell=91 space_group=I4/mmm pbc="T T T"
Br 0.0000 0.0000 0.0000
Li 2.2724 0.0000 2.2045
Li 0.0000 2.2724 2.2045
Pb 2.2724 2.2724 0.0000

***

Least stable: #C

***

#A
4
Lattice="5.2462 0.0000 0.0000 2.6231 4.5433 0.0000 2.6231 1.5144 4.2835" Properties=species:S:1:pos:R:3 comment="LiPbBr2, relaxed, DFT GGA-PBEsol" dos_ef_per_ev_atom=0.386 volume_a3_per_cell=102 space_group=Fm-3m pbc="T T T"
Br 2.6231 1.5144 1.0709
Br 7.8693 4.5433 3.2126
Li 0.0000 0.0000 0.0000
Pb 5.2462 3.0289 2.1417

***

#B
4
Lattice="3.6566 0.0000 0.0000 -1.8283 3.2580 -0.0421 0.0000 -1.3057 8.1757" Properties=species:S:1:pos:R:3 comment="LiPbBr2, relaxed, DFT GGA-PBEsol" dos_ef_per_ev_atom=0.258 volume_a3_per_cell=97 space_group=C2/m pbc="T T T"
Br 1.8283 0.8493 6.5899
Br 0.0000 1.1030 1.5438
Li 1.8283 0.0000 0.0000
Pb 0.0000 -0.6528 4.0879

***

#C
4
Lattice="-1.0999 2.8009 -1.9566 -0.3115 -2.3696 -3.2169 -7.4049 -3.1076 3.0061" Properties=species:S:1:pos:R:3 comment="LiPbBr2, relaxed, DFT GGA-PBEsol" dos_ef_per_ev_atom=0.250 volume_a3_per_cell=121 space_group=Amm2 pbc="T T T"
Br -7.3352 -1.5742 1.8699
Br -2.5363 -1.6957 -1.0016
Li -1.0495 -0.2252 0.2675
Pb -5.3045 -2.2898 -0.2960

***

Least stable: #A

***

#A
3
Lattice="3.4383 0.0000 0.0000 -1.7192 2.9777 0.0000 0.0000 0.0000 6.5401" Properties=species:S:1:pos:R:3 comment="LiScBr, relaxed, DFT GGA-PBEsol" dos_ef_per_ev_atom=0.445 volume_a3_per_cell=67 space_group=P3m1 pbc="T T T"
Sc 0.0000 1.9851 1.9897
Br 0.0000 0.0000 0.0596
Li 1.7192 0.9926 4.4908

***

#B
3
Lattice="-1.2820 2.6563 -2.0823 -0.4604 -2.9308 -3.4552 -3.4352 0.6329 2.9221" Properties=species:S:1:pos:R:3 comment="LiScBr, relaxed, DFT GGA-PBEsol" dos_ef_per_ev_atom=1.063 volume_a3_per_cell=65 space_group=P3m1 pbc="T T T"
Sc -2.7326 0.0438 0.3269
Br -0.0183 0.0379 -0.0297
Li -2.4266 0.2767 -2.9126

***

Least stable: #B

***

#A
5
Lattice="4.5874 0.0000 0.0000 0.0000 4.5874 0.0000 0.0000 0.0000 5.1421" Properties=species:S:1:pos:R:3 comment="LiScSeBr2, relaxed, DFT GGA-PBEsol" dos_ef_per_ev_atom=0.037 volume_a3_per_cell=108 space_group=P4/mmm pbc="T T T"
Sc 2.2937 2.2937 2.5710
Se 0.0000 0.0000 2.5710
Br 0.0000 2.2937 0.0000
Br 2.2937 0.0000 0.0000
Li 0.0000 0.0000 0.0000

***

#B
5
Lattice="-0.8288 -3.9505 3.1352 4.9593 0.3704 1.7778 -1.6013 3.3304 3.7732" Properties=species:S:1:pos:R:3 comment="LiScSeBr2, relaxed, DFT GGA-PBEsol" volume_a3_per_cell=143 space_group=P4/mmm pbc="T T T"
Sc 0.0000 0.0000 0.0000
Se -0.4144 -1.9753 1.5676
Br -0.8007 1.6652 1.8866
Br 2.4797 0.1852 0.8889
Li 1.2646 -0.1249 4.3431

***

Least stable: #A

***

#A
4
Lattice="3.4439 -0.0132 0.0068 -1.4847 3.1075 -0.0068 -1.6690 -1.1107 6.9211" Properties=species:S:1:pos:R:3 comment="Li2SeBr, relaxed, DFT GGA-PBEsol" dos_ef_per_ev_atom=0.206 volume_a3_per_cell=74 space_group=C2/m pbc="T T T"
Se 0.9796 1.5471 0.0000
Br 0.8875 -0.5619 3.4639
Li -0.7915 0.5012 1.8368
Li 1.0818 1.4824 5.0843

***

#B
4
Lattice="4.7367 0.0000 0.0000 2.3683 4.1021 0.0000 2.3683 1.3674 3.8675" Properties=species:S:1:pos:R:3 comment="Li2SeBr, relaxed, DFT GGA-PBEsol" dos_ef_per_ev_atom=0.736 volume_a3_per_cell=75 space_group=Fm-3m pbc="T T T"
Se 4.7367 2.7347 1.9337
Br 0.0000 0.0000 0.0000
Li 2.3683 1.3674 0.9669
Li 7.1050 4.1021 2.9006

***

Least stable: #B

***

#A
4
Lattice="-0.9439 1.9938 -2.8268 -3.0300 -0.7261 -1.7746 -5.8093 5.9496 3.8621" Properties=species:S:1:pos:R:3 comment="LiSiBr2, relaxed, DFT GGA-PBEsol" dos_ef_per_ev_atom=0.526 volume_a3_per_cell=99 space_group=R-3m pbc="T T T"
Si -4.8916 3.6086 -0.3696
Br -5.1379 2.7022 -3.2008
Br -4.6453 4.5150 2.4615
Li 0.0000 0.0000 0.0000

***

#B
4
Lattice="3.5319 0.0000 0.0000 1.7660 3.0587 0.0000 1.7660 1.0196 7.7548" Properties=species:S:1:pos:R:3 comment="LiSiBr2, relaxed, DFT GGA-PBEsol" dos_ef_per_ev_atom=0.402 volume_a3_per_cell=84 space_group=R-3m pbc="T T T"
Si 0.0000 0.0000 0.0000
Br 1.7660 1.0196 2.2488
Br 5.2979 3.0587 5.5061
Li 3.5319 2.0392 3.8774

***

Least stable: #A

***

#A
4
Lattice="-2.0691 -2.1795 2.3285 3.1713 -1.1101 1.7788 -1.1728 6.9690 2.3774" Properties=species:S:1:pos:R:3 comment="LiSiBr2, relaxed, DFT GGA-PBEsol" dos_ef_per_ev_atom=0.302 volume_a3_per_cell=101 space_group=I-4m2 pbc="T T T"
Si 1.2748 2.1070 3.1049
Br 0.0000 0.0000 0.0000
Br -1.3454 1.5723 3.3798
Li 0.5511 -1.6448 2.0537

***

#B
4
Lattice="3.5639 0.0511 0.0000 -1.7269 3.1180 0.0000 0.0000 0.0000 7.8682" Properties=species:S:1:pos:R:3 comment="LiSiBr2, relaxed, DFT GGA-PBEsol" dos_ef_per_ev_atom=0.280 volume_a3_per_cell=88 space_group=Cmmm pbc="T T T"
Si 0.9185 1.5846 0.0000
Br 0.0000 0.0000 2.1569
Br 0.0000 0.0000 5.7113
Li 0.9185 1.5846 3.9341

***

Least stable: #A

***

#A
4
Lattice="3.1620 0.0000 0.0340 0.0000 3.1622 0.0000 -0.0713 0.0000 7.0530" Properties=species:S:1:pos:R:3 comment="Li2SiBr, relaxed, DFT GGA-PBEsol" dos_ef_per_ev_atom=0.333 volume_a3_per_cell=71 space_group=P4/mmm pbc="T T T"
Si 1.5810 1.5811 0.0170
Br 1.5453 1.5811 3.5435
Li -0.0522 0.0000 5.1677
Li 3.1429 0.0000 1.9193

***

#B
4
Lattice="3.1693 0.0228 0.0304 -0.0369 4.8290 -0.0288 -0.0369 -1.3856 4.6261" Properties=species:S:1:pos:R:3 comment="Li2SiBr, relaxed, DFT GGA-PBEsol" dos_ef_per_ev_atom=0.312 volume_a3_per_cell=71 space_group=Cmmm pbc="T T T"
Si 1.5477 1.7331 2.3139
Br 1.5846 0.0114 0.0152
Li -0.0184 2.4145 -0.0144
Li -0.0184 -0.6928 2.3130

***

Least stable: #B

***

#A
4
Lattice="3.1840 0.0145 0.0000 -0.0212 4.7416 0.0000 0.0000 0.0000 4.7385" Properties=species:S:1:pos:R:3 comment="Li2SiBr, relaxed, DFT GGA-PBEsol" dos_ef_per_ev_atom=0.535 volume_a3_per_cell=72 space_group=P4/mmm pbc="T T T"
Si 1.1806 2.9679 0.0000
Br 1.1914 0.5977 2.3692
Li 2.7832 0.6053 0.0000
Li 2.7728 2.9777 2.3692

***

#B
4
Lattice="3.3085 0.0000 0.0000 1.6543 2.8653 0.0000 1.6543 0.9551 7.6847" Properties=species:S:1:pos:R:3 comment="Li2SiBr, relaxed, DFT GGA-PBEsol" dos_ef_per_ev_atom=0.481 volume_a3_per_cell=73 space_group=R-3m pbc="T T T"
Si 0.0000 0.0000 0.0000
Br 3.3085 1.9102 3.8424
Li 1.6543 0.9551 2.1705
Li 4.9628 2.8653 5.5142

***

Least stable: #A

***

#A
4
Lattice="-1.5902 2.4494 -3.0316 -3.8810 -0.6945 1.4747 3.2726 4.1518 4.5603" Properties=species:S:1:pos:R:3 comment="SrLiBr2, relaxed, DFT GGA-PBEsol" dos_ef_per_ev_atom=0.616 volume_a3_per_cell=112 space_group=I-4m2 pbc="T T T"
Br 0.0000 0.0000 0.0000
Br -0.5266 3.7394 0.3751
Li -2.7356 0.8775 -0.7785
Sr -1.6720 2.1674 2.6282

***

#B
4
Lattice="5.2928 0.0000 0.0000 2.6464 4.5837 0.0000 2.6464 1.5279 4.3216" Properties=species:S:1:pos:R:3 comment="SrLiBr2, relaxed, DFT GGA-PBEsol" dos_ef_per_ev_atom=0.566 volume_a3_per_cell=105 space_group=Fm-3m pbc="T T T"
Br 2.6464 1.5279 1.0804
Br 7.9392 4.5837 3.2412
Li 0.0000 0.0000 0.0000
Sr 5.2928 3.0558 2.1608

***

Least stable: #A

***

#A
4
Lattice="-0.4260 2.5438 -1.4206 -4.7327 -1.0669 -0.4911 -1.0117 2.3838 4.5720" Properties=species:S:1:pos:R:3 comment="Li2TaBr, relaxed, DFT GGA-PBEsol" dos_ef_per_ev_atom=0.580 volume_a3_per_cell=75 space_group=Pmm2 pbc="T T T"
Ta -0.7032 2.4269 1.5049
Br -2.9081 1.5130 0.5298
Li -0.9833 2.3168 4.4436
Li -3.0934 1.1797 3.0401

***

#B
4
Lattice="-2.2502 -0.0384 4.2142 -4.6441 -1.0994 0.2182 -1.3854 -4.1446 1.9305" Properties=species:S:1:pos:R:3 comment="Li2TaBr, relaxed, DFT GGA-PBEsol" dos_ef_per_ev_atom=0.970 volume_a3_per_cell=77 space_group=Fm-3m pbc="T T T"
Ta -4.1399 -2.6412 3.1815
Br 0.0000 0.0000 0.0000
Li -2.0699 -1.3206 1.5907
Li -6.2098 -3.9618 4.7722

***

Least stable: #B

***

#A
4
Lattice="3.3877 0.0000 0.0000 0.0000 3.3877 0.0000 0.0000 0.0000 7.5376" Properties=species:S:1:pos:R:3 comment="Li2TeBr, relaxed, DFT GGA-PBEsol" dos_ef_per_ev_atom=0.073 volume_a3_per_cell=87 space_group=P4/mmm pbc="T T T"
Te 1.6938 1.6938 0.0000
Br 1.6938 1.6938 3.7688
Li 0.0000 0.0000 5.4485
Li 0.0000 0.0000 2.0891

***

#B
4
Lattice="-0.9191 2.7109 1.7562 -4.7596 2.3277 -2.8731 -3.9603 -1.9279 4.1142" Properties=species:S:1:pos:R:3 comment="Li2TeBr, relaxed, DFT GGA-PBEsol" dos_ef_per_ev_atom=0.390 volume_a3_per_cell=113 space_group=Immm pbc="T T T"
Te -4.8195 1.5553 1.4986
Br -0.4596 1.3554 0.8781
Li -4.5838 1.3917 -1.3364
Li -4.1361 -0.9920 2.5774

***

Least stable: #B